(1)
# PmTc2C

PmTc2C after structural relaxation (PBE, Alexandria).

a = 3.0693 Å, b = 5.5134 Å, c = 7.8790 Å
α = 90.00°, β = 90.00°, γ = 106.16°
Element x y z (fractional)
Tc1 0.6625 0.3247 0.4251
Tc2 0.3375 0.6753 0.5749
Tc3 0.3375 0.6753 0.9251
Tc4 0.6625 0.3247 0.0749
Pm1 0.9313 0.8625 0.2500
Pm2 0.0687 0.1375 0.7500
C1 0.1883 0.3766 0.2500
C2 0.8117 0.6234 0.7500

Computed properties:
- ΔE to the lowest computed polymorph: 0.00 eV/f.u.
- Electronic total energy: -8.508 eV/atom

=====

(2)
# PmTc3C3

PmTc3C3 after structural relaxation (PBE, Alexandria).

a = 5.9811 Å, b = 5.9811 Å, c = 7.4664 Å
α = 66.39°, β = 66.39°, γ = 60.00°
Element x y z (fractional)
C1 0.7613 0.4701 0.6939
C2 0.4701 0.0747 0.6939
C3 0.5299 0.9253 0.3061
C4 0.9253 0.2387 0.3061
C5 0.2387 0.5299 0.3061
C6 0.0747 0.7613 0.6939
Pm1 0.3296 0.3296 0.0112
Pm2 0.6704 0.6704 0.9888
Tc1 0.5830 0.2000 0.3624
Tc2 0.2000 0.8546 0.3624
Tc3 0.8000 0.1454 0.6376
Tc4 0.1454 0.4170 0.6376
Tc5 0.4170 0.8000 0.6376
Tc6 0.8546 0.5830 0.3624

Computed properties:
- Electronic total energy: -8.961 eV/atom

=====

(3)
# Pm2Tc5C4

Pm2Tc5C4 after structural relaxation (PBE, Alexandria).

a = 5.4378 Å, b = 5.8240 Å, c = 6.0806 Å
α = 77.95°, β = 63.44°, γ = 62.17°
Element x y z (fractional)
C1 0.7908 0.6878 0.7305
C2 0.5214 0.6878 0.2695
C3 0.2092 0.3122 0.2695
C4 0.4786 0.3122 0.7305
Tc1 0.7500 0.5000 0.5000
Tc2 0.5000 0.0000 0.0000
Tc3 0.2500 0.5000 0.5000
Tc4 0.5000 0.5000 0.0000
Tc5 0.0000 0.5000 0.0000
Pm1 0.8480 0.0000 0.3040
Pm2 0.1520 0.0000 0.6960

Computed properties:
- Electronic total energy: -8.923 eV/atom

=====

(4)
# Pm3TcC3

Pm3TcC3 after structural relaxation (PBE, Alexandria).

a = 5.3430 Å, b = 6.9633 Å, c = 6.9658 Å
α = 100.89°, β = 90.00°, γ = 90.00°
Element x y z (fractional)
Tc1 0.7500 0.6942 0.3057
Tc2 0.2500 0.3058 0.6943
Pm1 0.2500 0.4099 0.1704
Pm2 0.7500 0.1083 0.8917
Pm3 0.7500 0.5901 0.8296
Pm4 0.2500 0.8917 0.1083
Pm5 0.7500 0.1706 0.4100
Pm6 0.2500 0.8294 0.5900
C1 0.7500 0.4241 0.1746
C2 0.7500 0.8755 0.1246
C3 0.7500 0.8253 0.5756
C4 0.2500 0.1747 0.4244
C5 0.2500 0.1245 0.8754
C6 0.2500 0.5759 0.8254

Computed properties:
- ΔE to the lowest computed polymorph: 0.00 eV/f.u.
- Electronic total energy: -7.696 eV/atom

=====

In order of appearance, M_tot = 0.000, 0.000, 0.000, 0.000 μB per atom.